# NbBiPd2O PBE optimized geometry
data_NbBiPd2O
_symmetry_space_group_name_H-M 'P 4/m m m'
_symmetry_Int_Tables_number 123
_symmetry_space_group_name_Hall '-P 4 2'
_cell_length_a 4.675
_cell_length_b 4.675
_cell_length_c 3.999
_cell_angle_alpha 90.00
_cell_angle_beta 90.00
_cell_angle_gamma 90.00
loop_
_atom_site_label
_atom_site_fract_x
_atom_site_fract_y
_atom_site_fract_z
Nb1 0.000 0.000 0.000
Bi1 0.500 0.500 0.000
Pd1 0.000 0.500 0.500
O1 0.000 0.000 0.500
# raw formation energy: -0.338 eV/atom
# E_tot: -6.197 eV per atom



# PrNbBi2O8 PBE optimized geometry
data_PrNbBi2O8
_symmetry_space_group_name_H-M 'C m m m'
_symmetry_Int_Tables_number 65
_symmetry_space_group_name_Hall '-C 2 2'
_cell_length_a 7.197
_cell_length_b 7.315
_cell_length_c 7.007
_cell_angle_alpha 90.00
_cell_angle_beta 90.00
_cell_angle_gamma 90.00
loop_
_atom_site_label
_atom_site_fract_x
_atom_site_fract_y
_atom_site_fract_z
Pr1 0.000 0.000 0.000
Nb1 0.000 0.000 0.500
Bi1 0.000 0.500 0.258
O1 0.000 0.286 0.500
O2 0.000 0.322 0.000
O3 0.186 0.000 0.286
# raw formation energy: -1.916 eV/atom
# E_tot: -7.105 eV per atom



# NbBiPtO6 PBE optimized geometry
data_NbBiPtO6
_symmetry_space_group_name_H-M 'P 42 n m'
_symmetry_Int_Tables_number 102
_symmetry_space_group_name_Hall 'P 4n -2n'
_cell_length_a 4.919
_cell_length_b 4.919
_cell_length_c 9.916
_cell_angle_alpha 90.00
_cell_angle_beta 90.00
_cell_angle_gamma 90.00
loop_
_atom_site_label
_atom_site_fract_x
_atom_site_fract_y
_atom_site_fract_z
Nb1 0.000 0.000 0.000
Bi1 0.000 0.000 0.331
Pt1 0.000 0.000 0.660
O1 0.170 0.170 0.829
O2 0.205 0.205 0.509
O3 0.209 0.209 0.137
# raw formation energy: -1.433 eV/atom
# E_tot: -6.959 eV per atom



# Rb3Nb2BiO9 PBE optimized geometry
data_Rb3Nb2BiO9
_symmetry_space_group_name_H-M 'P -3 m 1'
_symmetry_Int_Tables_number 164
_symmetry_space_group_name_Hall '-P 3 2"'
_cell_length_a 5.8795
_cell_length_b 5.8795
_cell_length_c 7.2052
_cell_angle_alpha 90.00
_cell_angle_beta 90.00
_cell_angle_gamma 120.00
loop_
_atom_site_label
_atom_site_fract_x
_atom_site_fract_y
_atom_site_fract_z
Rb1 0.0000 0.0000 0.0000
Rb2 0.3333 0.6667 0.6653
Nb1 0.3333 0.6667 0.1608
Bi1 0.0000 0.0000 0.5000
O1 0.0000 0.5000 0.0000
O2 0.1721 0.3442 0.3247
# raw formation energy: -1.907 eV/atom
# E_tot: -6.677 eV per atom



# Rb2NbBiO6 PBE optimized geometry
data_Rb2NbBiO6
_symmetry_space_group_name_H-M 'F m -3 m'
_symmetry_Int_Tables_number 225
_symmetry_space_group_name_Hall '-F 4 2 3'
_cell_length_a 8.390
_cell_length_b 8.390
_cell_length_c 8.390
_cell_angle_alpha 90.00
_cell_angle_beta 90.00
_cell_angle_gamma 90.00
loop_
_atom_site_label
_atom_site_fract_x
_atom_site_fract_y
_atom_site_fract_z
Rb1 0.250 0.250 0.250
Nb1 0.000 0.000 0.000
Bi1 0.000 0.000 0.500
O1 0.000 0.000 0.241
# raw formation energy: -1.686 eV/atom
# E_tot: -6.250 eV per atom



# RbNb2BiO8 PBE optimized geometry
data_RbNb2BiO8
_symmetry_space_group_name_H-M 'P -3'
_symmetry_Int_Tables_number 147
_symmetry_space_group_name_Hall '-P 3'
_cell_length_a 5.7271
_cell_length_b 5.7271
_cell_length_c 7.6956
_cell_angle_alpha 90.00
_cell_angle_beta 90.00
_cell_angle_gamma 120.00
loop_
_atom_site_label
_atom_site_fract_x
_atom_site_fract_y
_atom_site_fract_z
Rb1 0.0000 0.0000 0.0000
Nb1 0.3333 0.6667 0.4080
Bi1 0.0000 0.0000 0.5000
O1 0.0432 0.3601 0.6145
O2 0.3333 0.6667 0.1774
# raw formation energy: -1.778 eV/atom
# E_tot: -7.166 eV per atom



# Nb2BiRuO PBE optimized geometry
data_Nb2BiRuO
_symmetry_space_group_name_H-M 'P 4/m m m'
_symmetry_Int_Tables_number 123
_symmetry_space_group_name_Hall '-P 4 2'
_cell_length_a 5.389
_cell_length_b 5.389
_cell_length_c 4.961
_cell_angle_alpha 90.00
_cell_angle_beta 90.00
_cell_angle_gamma 90.00
loop_
_atom_site_label
_atom_site_fract_x
_atom_site_fract_y
_atom_site_fract_z
Nb1 0.000 0.500 0.000
Bi1 0.000 0.000 0.000
Ru1 0.000 0.000 0.500
O1 0.500 0.500 0.500
# raw formation energy: 2.394 eV/atom
# E_tot: -5.257 eV per atom



# Sc2NbBiO PBE optimized geometry
data_Sc2NbBiO
_symmetry_space_group_name_H-M 'P 4/m m m'
_symmetry_Int_Tables_number 123
_symmetry_space_group_name_Hall '-P 4 2'
_cell_length_a 5.463
_cell_length_b 5.463
_cell_length_c 3.933
_cell_angle_alpha 90.00
_cell_angle_beta 90.00
_cell_angle_gamma 90.00
loop_
_atom_site_label
_atom_site_fract_x
_atom_site_fract_y
_atom_site_fract_z
Sc1 0.000 0.500 0.000
Nb1 0.000 0.000 0.000
Bi1 0.500 0.500 0.500
O1 0.000 0.000 0.500
# raw formation energy: -0.389 eV/atom
# E_tot: -6.703 eV per atom